Entry 1:
The following is a DFT calculation (PBE-GGA) of Nd3Dy6Y after structural relaxation.

E_form in eV/atom: 0.222
Magnetization in Bohr magnetons per cell: 0.000

abc: 6.611 9.729 6.667
angles: 111.35 119.72 90.00
Atoms (fractional coordinates):
Dy: 0.364 0.078 0.728
Dy: 0.560 0.688 0.628
Dy: 0.440 0.312 0.372
Dy: 0.932 0.312 0.372
Dy: 0.636 0.922 0.272
Dy: 0.068 0.688 0.628
Y: 0.500 0.500 0.000
Nd: 0.000 0.000 0.000
Nd: 0.930 0.300 0.859
Nd: 0.070 0.700 0.141

Entry 2:
The following is a DFT calculation (PBE-GGA) of RhAuS2 after structural relaxation.

Total energy in eV per atom: -4.74
Magnetization in Bohr magnetons per cell: 0.000

abc: 6.859 6.973 6.671
angles: 90.00 90.00 90.00
Atoms (fractional coordinates):
S: 0.658 0.136 0.634
S: 0.158 0.364 0.634
S: 0.570 0.616 0.634
S: 0.430 0.384 0.134
S: 0.342 0.864 0.134
S: 0.070 0.884 0.634
S: 0.930 0.116 0.134
S: 0.842 0.636 0.134
Au: 0.410 0.923 0.501
Au: 0.590 0.077 0.001
Au: 0.090 0.423 0.001
Au: 0.910 0.577 0.501
Rh: 0.452 0.342 0.481
Rh: 0.548 0.658 0.981
Rh: 0.048 0.842 0.981
Rh: 0.952 0.158 0.481

Entry 3:
The following is a DFT calculation (PBE-GGA) of PmBPt3 after structural relaxation.

E_form in eV/atom: -0.710
Magnetization in Bohr magnetons per cell: 0.000

abc: 4.385 4.385 4.385
angles: 90.00 90.00 90.00
Atoms (fractional coordinates):
Pm: 0.500 0.500 0.500
Pt: 0.000 0.500 0.000
Pt: 0.000 0.000 0.500
Pt: 0.500 0.000 0.000
B: 0.000 0.000 0.000

Entry 4:
The following is a DFT calculation (PBE-GGA) of CaMnCr after structural relaxation.

E_form in eV/atom: 0.420
Magnetization in Bohr magnetons per cell: 0.109

abc: 5.986 5.986 3.303
angles: 73.99 73.98 32.03
Atoms (fractional coordinates):
Cr: 0.284 0.284 0.716
Mn: 0.713 0.713 0.287
Ca: 0.002 0.002 0.998